[1]
DFT (PBE) results for a relaxed MgH4Pd crystal.

**Density of states at the Fermi level**: 2.8 states/eV per cell
**V**: 9.258 A^3/atom
**Calculated density**: 4.029 g cm⁻³
**Energy**: -0.2514 Ry/atom

Cell: 4.9791 6.7324 7.0430 Å, 90.00 90.00 109.76°
Closest atoms and distances in Å follow each position.
Fractional coordinates of all 24 atoms:
Mg 0.2960 0.1332 0.9003  5 H 2.00-2.10
Mg 0.2040 0.3668 0.4003  5 H 2.00-2.10
Mg 0.7960 0.6332 0.5997  5 H 2.00-2.10
Mg 0.7040 0.8668 0.0997  5 H 2.00-2.10
H 0.6001 0.0174 0.7107  2 Pd 1.71-1.78
H 0.1095 0.1909 0.6534  1 Pd 1.68
H 0.8688 0.1138 0.3302  1 Pd 1.67
H 0.5857 0.3333 0.4880  1 Pd 1.80
H 0.6312 0.3862 0.8302  1 Pd 1.67
H 0.9143 0.1667 0.9880  1 Pd 1.80
H 0.3905 0.3091 0.1534  1 Pd 1.68
H 0.8999 0.4826 0.2107  2 Pd 1.71-1.78
H 0.1001 0.5174 0.7893  2 Pd 1.71-1.78
H 0.6095 0.6909 0.8466  1 Pd 1.68
H 0.0857 0.8333 0.0120  1 Pd 1.80
H 0.3688 0.6138 0.1698  1 Pd 1.67
H 0.4143 0.6667 0.5120  1 Pd 1.80
H 0.1312 0.8862 0.6698  1 Pd 1.67
H 0.8905 0.8091 0.3466  1 Pd 1.68
H 0.3999 0.9826 0.2893  2 Pd 1.71-1.78
Pd 0.8592 0.2680 0.7602  5 H 1.67-1.80
Pd 0.6408 0.2320 0.2602  5 H 1.67-1.80
Pd 0.3592 0.7680 0.7398  5 H 1.67-1.80
Pd 0.1408 0.7320 0.2398  5 H 1.67-1.80

=====

[2]
DFT (PBE) results for a relaxed PmMgCuTe3 crystal.

**Density of states at the Fermi level**: 0.1 states/eV per cell
**V**: 27.726 A^3/atom
**Calculated density**: 6.145 g cm⁻³
**ΔE_f (raw)**: -0.900 eV/atom
**Energy**: -0.3095 Ry/atom

Cell: 4.2036 8.5865 9.3950 Å, 101.14 90.00 90.00°
Closest atoms and distances in Å follow each position.
Fractional coordinates of all 12 atoms:
Pm 0.2500 0.1734 0.2537  6 Te 3.17-3.24, 1 Cu 3.29
Pm 0.7500 0.8266 0.7463  6 Te 3.17-3.24, 1 Cu 3.29
Mg 0.2500 0.6559 0.1576  6 Te 2.88-3.01
Mg 0.7500 0.3441 0.8424  6 Te 2.88-3.01
Cu 0.2500 0.0653 0.5705  2 Cu 2.62, 4 Te 2.65-2.71
Cu 0.7500 0.9347 0.4295  2 Cu 2.62, 4 Te 2.65-2.71
Te 0.7500 0.9012 0.1386  1 Cu 2.69, 2 Mg 3.01
Te 0.2500 0.0988 0.8614  1 Cu 2.69, 2 Mg 3.01
Te 0.2500 0.7528 0.4790  3 Cu 2.65-2.71
Te 0.7500 0.2472 0.5210  3 Cu 2.65-2.71
Te 0.7500 0.4126 0.1550  3 Mg 2.88-2.96, 2 Pm 3.20
Te 0.2500 0.5874 0.8450  3 Mg 2.88-2.96, 2 Pm 3.20

=====

[3]
DFT (PBE) results for a relaxed TiV2H crystal.

**Density of states at the Fermi level**: 13.1 states/eV per cell
**V**: 12.860 A^3/atom
**Calculated density**: 4.867 g cm⁻³
**Energy**: -0.5321 Ry/atom

Cell: 5.2628 5.2628 5.2578 Å, 59.97 59.97 90.00°
Closest atoms and distances in Å follow each position.
Fractional coordinates of all 8 atoms:
H 0.5000 0.5000 0.0000  4 V 1.61
H 0.2500 0.7500 0.5000  4 V 1.61
V 0.3748 0.1250 0.2500  2 H 1.61
V 0.3752 0.6250 0.2500  2 H 1.61
V 0.3750 0.6252 0.7500  2 H 1.61
V 0.8750 0.6248 0.7500  2 H 1.61
Ti 0.0000 0.0000 0.0000  12 V 3.08-3.09, 4 H 3.22, 4 Ti 3.22
Ti 0.7500 0.2500 0.5000  12 V 3.08-3.09, 4 H 3.22, 4 Ti 3.22

=====

[4]
DFT (PBE) results for a relaxed Sm3Ta5Al12 crystal.

**Density of states at the Fermi level**: 94.9 states/eV per cell
**V**: 26.378 A^3/atom
**DFT formation energy**: 1938.5 kJ/mol of formula units
**Calculated density**: 5.287 g cm⁻³
**Energy**: -0.3610 Ry/atom

Cell: 13.9953 13.9953 13.9953 Å, 109.47 109.47 109.47°
Closest atoms and distances in Å follow each position.
Fractional coordinates of all 80 atoms:
Sm 0.7500 0.3750 0.1250  8 Al 2.97-3.06
Sm 0.8750 0.7500 0.1250  8 Al 2.97-3.06
Sm 0.3750 0.7500 0.6250  8 Al 2.97-3.06
Sm 0.2500 0.1250 0.3750  8 Al 2.97-3.06
Sm 0.8750 0.1250 0.2500  8 Al 2.97-3.06
Sm 0.3750 0.6250 0.2500  8 Al 2.97-3.06
Sm 0.6250 0.3750 0.7500  8 Al 2.97-3.06
Sm 0.1250 0.8750 0.7500  8 Al 2.97-3.06
Sm 0.7500 0.8750 0.6250  8 Al 2.97-3.06
Sm 0.6250 0.2500 0.3750  8 Al 2.97-3.06
Sm 0.1250 0.2500 0.8750  8 Al 2.97-3.06
Sm 0.2500 0.6250 0.8750  8 Al 2.97-3.06
Ta 0.1250 0.3750 0.2500  4 Al 2.66
Ta 0.0000 0.5000 0.0000  6 Al 2.62
Ta 0.0000 0.0000 0.0000  6 Al 2.62
Ta 0.3750 0.2500 0.1250  4 Al 2.66
Ta 0.5000 0.0000 0.5000  6 Al 2.62
Ta 0.5000 0.5000 0.0000  6 Al 2.62
Ta 0.1250 0.7500 0.3750  4 Al 2.66
Ta 0.7500 0.1250 0.8750  4 Al 2.66
Ta 0.7500 0.6250 0.3750  4 Al 2.66
Ta 0.3750 0.1250 0.7500  4 Al 2.66
Ta 0.6250 0.8750 0.2500  4 Al 2.66
Ta 0.5000 0.5000 0.5000  6 Al 2.62
Ta 0.5000 0.0000 0.0000  6 Al 2.62
Ta 0.0000 0.0000 0.5000  6 Al 2.62
Ta 0.2500 0.3750 0.6250  4 Al 2.66
Ta 0.2500 0.8750 0.1250  4 Al 2.66
Ta 0.0000 0.5000 0.5000  6 Al 2.62
Ta 0.8750 0.2500 0.6250  4 Al 2.66
Ta 0.6250 0.7500 0.8750  4 Al 2.66
Ta 0.8750 0.6250 0.7500  4 Al 2.66
Al 0.7141 0.1285 0.0508  2 Ta 2.62-2.66
Al 0.3367 0.5508 0.4223  2 Ta 2.62-2.66
Al 0.9492 0.3715 0.2859  2 Ta 2.62-2.66
Al 0.5508 0.2141 0.1285  2 Ta 2.62-2.66
Al 0.5857 0.7141 0.6633  2 Ta 2.62-2.66
Al 0.9492 0.5777 0.1633  2 Ta 2.62-2.66
Al 0.3367 0.7859 0.4143  2 Ta 2.62-2.66
Al 0.0777 0.9143 0.1285  2 Ta 2.62-2.66
Al 0.5777 0.9492 0.6633  2 Ta 2.62-2.66
Al 0.7141 0.5857 0.1633  2 Ta 2.62-2.66
Al 0.7859 0.4492 0.3715  2 Ta 2.62-2.66
Al 0.8367 0.9223 0.0508  2 Ta 2.62-2.66
Al 0.1285 0.7141 0.5508  2 Ta 2.62-2.66
Al 0.3715 0.4223 0.0857  2 Ta 2.62-2.66
Al 0.0857 0.9223 0.3715  2 Ta 2.62-2.66
Al 0.4143 0.1285 0.5777  2 Ta 2.62-2.66
Al 0.0857 0.1633 0.2141  2 Ta 2.62-2.66
Al 0.4492 0.6633 0.0777  2 Ta 2.62-2.66
Al 0.8367 0.9143 0.2859  2 Ta 2.62-2.66
Al 0.1285 0.4143 0.0777  2 Ta 2.62-2.66
Al 0.3715 0.9492 0.7859  2 Ta 2.62-2.66
Al 0.5777 0.6285 0.4143  2 Ta 2.62-2.66
Al 0.9223 0.8367 0.5508  2 Ta 2.62-2.66
Al 0.7859 0.3367 0.9143  2 Ta 2.62-2.66
Al 0.4223 0.3715 0.5857  2 Ta 2.62-2.66
Al 0.0777 0.1633 0.4492  2 Ta 2.62-2.66
Al 0.2141 0.6633 0.0857  2 Ta 2.62-2.66
Al 0.1633 0.0857 0.7141  2 Ta 2.62-2.66
Al 0.6285 0.0508 0.2141  2 Ta 2.62-2.66
Al 0.8715 0.5857 0.9223  2 Ta 2.62-2.66
Al 0.5508 0.3367 0.9223  2 Ta 2.62-2.66
Al 0.5857 0.8715 0.4223  2 Ta 2.62-2.66
Al 0.9143 0.8367 0.7859  2 Ta 2.62-2.66
Al 0.9143 0.0777 0.6285  2 Ta 2.62-2.66
Al 0.8715 0.2859 0.4492  2 Ta 2.62-2.66
Al 0.1633 0.0777 0.9492  2 Ta 2.62-2.66
Al 0.6285 0.5777 0.9143  2 Ta 2.62-2.66
Al 0.4223 0.0508 0.3367  2 Ta 2.62-2.66
Al 0.2859 0.4143 0.8367  2 Ta 2.62-2.66
Al 0.2141 0.5508 0.6285  2 Ta 2.62-2.66
Al 0.9223 0.0857 0.8715  2 Ta 2.62-2.66
Al 0.6633 0.2141 0.5857  2 Ta 2.62-2.66
Al 0.4492 0.7859 0.8715  2 Ta 2.62-2.66
Al 0.0508 0.4223 0.8367  2 Ta 2.62-2.66
Al 0.4143 0.2859 0.3367  2 Ta 2.62-2.66
Al 0.0508 0.6285 0.7141  2 Ta 2.62-2.66
Al 0.6633 0.4492 0.5777  2 Ta 2.62-2.66
Al 0.2859 0.8715 0.9492  2 Ta 2.62-2.66

=====

[5]
DFT (PBE) results for a relaxed PrTlSi crystal.

**Density of states at the Fermi level**: 3.6 states/eV per cell
**V**: 26.266 A^3/atom
**Calculated density**: 7.868 g cm⁻³
**ΔE_f (raw)**: -0.481 eV/atom
**Energy**: -0.3433 Ry/atom

Cell: 3.8795 4.2637 9.7631 Å, 102.61 90.00 90.00°
Closest atoms and distances in Å follow each position.
Fractional coordinates of all 6 atoms:
Pr 0.7500 0.9104 0.8207  6 Si 3.05-3.22
Pr 0.2500 0.0896 0.1793  6 Si 3.05-3.22
Tl 0.7500 0.7094 0.4188  4 Tl 3.27, 1 Si 3.29
Tl 0.2500 0.2906 0.5812  4 Tl 3.27, 1 Si 3.29
Si 0.7500 0.5368 0.0736  2 Si 2.39
Si 0.2500 0.4632 0.9264  2 Si 2.39

=====

[6]
DFT (PBE) results for a relaxed Ir2Br crystal.

**Density of states at the Fermi level**: 8.1 states/eV per cell
**V**: 16.414 A^3/atom
**Calculated density**: 15.658 g cm⁻³
**ΔE_f (raw)**: 1.191 eV/atom
**Energy**: -0.3876 Ry/atom

Cell: 2.9503 4.4620 7.4814 Å, 90.00 90.00 90.00°
Closest atoms and distances in Å follow each position.
Fractional coordinates of all 6 atoms:
Ir 0.7579 0.0000 0.3403  3 Br 2.64, 4 Ir 2.78-2.95
Ir 0.2421 0.0000 0.6597  3 Br 2.64, 4 Ir 2.78-2.95
Ir 0.2579 0.5000 0.1597  3 Br 2.64, 4 Ir 2.78-2.95
Ir 0.7421 0.5000 0.8403  3 Br 2.64, 4 Ir 2.78-2.95
Br 0.0000 0.0000 0.0000  6 Ir 2.64, 2 Br 2.95
Br 0.5000 0.5000 0.5000  6 Ir 2.64, 2 Br 2.95

=====

[7]
DFT (PBE) results for a relaxed AlCuNi crystal.

**Density of states at the Fermi level**: 6.6 states/eV per cell
**V**: 15.332 A^3/atom
**DFT formation energy**: 64.0 kJ/mol of formula units
**Calculated density**: 5.387 g cm⁻³
**Energy**: -0.3174 Ry/atom

Cell: 5.0707 4.0165 9.0334 Å, 90.00 90.00 90.00°
Closest atoms and distances in Å follow each position.
Fractional coordinates of all 12 atoms:
Ni 0.2348 0.7500 0.6208  1 Ni 2.33, 1 Cu 2.34, 3 Al 2.36-2.37
Ni 0.7652 0.2500 0.3792  1 Ni 2.33, 1 Cu 2.34, 3 Al 2.36-2.37
Ni 0.7652 0.2500 0.1208  1 Ni 2.33, 1 Cu 2.34, 3 Al 2.36-2.37
Ni 0.2348 0.7500 0.8792  1 Ni 2.33, 1 Cu 2.34, 3 Al 2.36-2.37
Al 0.0072 0.7500 0.3923  3 Ni 2.36-2.37, 3 Cu 2.50-2.51, 1 Al 2.57
Al 0.9928 0.2500 0.6077  3 Ni 2.36-2.37, 3 Cu 2.50-2.51, 1 Al 2.57
Al 0.9928 0.2500 0.8923  3 Ni 2.36-2.37, 3 Cu 2.50-2.51, 1 Al 2.57
Al 0.0072 0.7500 0.1077  3 Ni 2.36-2.37, 3 Cu 2.50-2.51, 1 Al 2.57
Cu 0.6947 0.7500 0.6059  1 Ni 2.34, 3 Al 2.50-2.51, 1 Cu 2.60
Cu 0.3053 0.2500 0.3941  1 Ni 2.34, 3 Al 2.50-2.51, 1 Cu 2.60
Cu 0.3053 0.2500 0.1059  1 Ni 2.34, 3 Al 2.50-2.51, 1 Cu 2.60
Cu 0.6947 0.7500 0.8941  1 Ni 2.34, 3 Al 2.50-2.51, 1 Cu 2.60

=====

[8]
DFT (PBE) results for a relaxed Er3GaSeCl crystal.

**Density of states at the Fermi level**: 7.3 states/eV per cell
**V**: 25.052 A^3/atom
**Calculated density**: 7.578 g cm⁻³
**ΔE_f (raw)**: -1.215 eV/atom
**Energy**: -0.3593 Ry/atom

Cell: 3.8399 8.5859 10.9757 Å, 123.82 90.00 90.00°
Closest atoms and distances in Å follow each position.
Fractional coordinates of all 12 atoms:
Er 0.7500 0.9340 0.0948  2 Se 2.83, 3 Ga 3.05-3.17
Er 0.2500 0.0660 0.9052  2 Se 2.83, 3 Ga 3.05-3.17
Er 0.2500 0.6729 0.5224  2 Cl 2.67
Er 0.7500 0.3271 0.4776  2 Cl 2.67
Er 0.7500 0.5020 0.1704  1 Cl 2.73, 3 Se 2.85-2.88, 2 Ga 3.04
Er 0.2500 0.4980 0.8296  1 Cl 2.73, 3 Se 2.85-2.88, 2 Ga 3.04
Ga 0.2500 0.2872 0.2396  8 Er 3.03-3.17
Ga 0.7500 0.7128 0.7604  8 Er 3.03-3.17
Se 0.2500 0.7307 0.1422  5 Er 2.83-2.88
Se 0.7500 0.2693 0.8578  5 Er 2.83-2.88
Cl 0.2500 0.1794 0.5523  3 Er 2.67-2.73
Cl 0.7500 0.8206 0.4477  3 Er 2.67-2.73